Computed, not measured: a relaxed CaLa2Hg crystal at the PBE-GGA level of DFT.

## Properties
Its density of states at the Fermi level is 7.8 states/eV/cell. For the volume, the calculation gives 36.0 Å³ per atom. For the calculated formation energy, the calculation gives -0.044 eV per atom.

Geometry as CIF:
```
data_CaLa2Hg
_cell_length_a 9.335
_cell_length_b 9.335
_cell_length_c 7.381
_cell_angle_alpha 50.77
_cell_angle_beta 50.77
_cell_angle_gamma 90.00
_symmetry_space_group_name_H-M 'P 1'
_symmetry_Int_Tables_number 1
loop_
_symmetry_equiv_pos_as_xyz
'x,y,z'
loop_
_atom_site_label
_atom_site_type_symbol
_atom_site_fract_x
_atom_site_fract_y
_atom_site_fract_z
Ca1 Ca 0.500 0.500 0.000
Ca2 Ca 0.250 0.750 0.500
Hg1 Hg 0.000 0.000 0.000
Hg2 Hg 0.750 0.250 0.500
La1 La 0.673 0.125 0.250
La2 La 0.077 0.625 0.250
La3 La 0.375 0.327 0.750
La4 La 0.875 0.923 0.750
```



Computed, not measured: a relaxed Ac2TmGa2Pt7 crystal at the PBE-GGA level of DFT.

## Properties
Its density of states at the Fermi level is 2.8 states/eV/cell. For the volume, the calculation gives 20.7 Å³ per atom. For the calculated formation energy, the calculation gives -1.035 eV per atom.

Geometry as CIF:
```
data_Ac2TmGa2Pt7
_cell_length_a 4.202
_cell_length_b 4.202
_cell_length_c 14.183
_cell_angle_alpha 84.86
_cell_angle_beta 84.86
_cell_angle_gamma 89.62
_symmetry_space_group_name_H-M 'P 1'
_symmetry_Int_Tables_number 1
loop_
_symmetry_equiv_pos_as_xyz
'x,y,z'
loop_
_atom_site_label
_atom_site_type_symbol
_atom_site_fract_x
_atom_site_fract_y
_atom_site_fract_z
Ac1 Ac 0.906 0.906 0.352
Ac2 Ac 0.094 0.094 0.648
Tm1 Tm 0.000 0.000 0.000
Ga1 Ga 0.572 0.572 0.757
Ga2 Ga 0.428 0.428 0.243
Pt1 Pt 0.500 0.500 0.000
Pt2 Pt 0.399 0.399 0.421
Pt3 Pt 0.601 0.601 0.579
Pt4 Pt 0.957 0.457 0.145
Pt5 Pt 0.457 0.957 0.145
Pt6 Pt 0.543 0.043 0.855
Pt7 Pt 0.043 0.543 0.855
```



Computed, not measured: a relaxed K2TlGeAs2 crystal at the PBE-GGA level of DFT.

## Properties
Its density of states at the Fermi level is 3.1 states/eV/cell. For the volume, the calculation gives 32.1 Å³ per atom. For the calculated formation energy, the calculation gives -0.255 eV per atom.

Geometry as CIF:
```
data_K2TlGeAs2
_cell_length_a 6.729
_cell_length_b 8.059
_cell_length_c 8.832
_cell_angle_alpha 117.14
_cell_angle_beta 112.39
_cell_angle_gamma 90.00
_symmetry_space_group_name_H-M 'P 1'
_symmetry_Int_Tables_number 1
loop_
_symmetry_equiv_pos_as_xyz
'x,y,z'
loop_
_atom_site_label
_atom_site_type_symbol
_atom_site_fract_x
_atom_site_fract_y
_atom_site_fract_z
K1 K 0.676 0.888 0.352
K2 K 0.176 0.464 0.352
K3 K 0.824 0.536 0.648
K4 K 0.324 0.112 0.648
Tl1 Tl 0.250 0.000 0.000
Tl2 Tl 0.750 0.000 0.000
Ge1 Ge 0.750 0.500 0.000
Ge2 Ge 0.250 0.500 0.000
As1 As 0.412 0.601 0.824
As2 As 0.588 0.399 0.176
As3 As 0.088 0.777 0.176
As4 As 0.912 0.223 0.824
```



Computed, not measured: a relaxed NpUTcGe crystal at the PBE-GGA level of DFT.

## Properties
Its density of states at the Fermi level is 7.0 states/eV/cell. For the volume, the calculation gives 18.7 Å³ per atom. For the calculated formation energy, the calculation gives -0.011 eV per atom.

Geometry as CIF:
```
data_NpUTcGe
_cell_length_a 4.731
_cell_length_b 4.731
_cell_length_c 4.731
_cell_angle_alpha 60.00
_cell_angle_beta 60.00
_cell_angle_gamma 60.00
_symmetry_space_group_name_H-M 'P 1'
_symmetry_Int_Tables_number 1
loop_
_symmetry_equiv_pos_as_xyz
'x,y,z'
loop_
_atom_site_label
_atom_site_type_symbol
_atom_site_fract_x
_atom_site_fract_y
_atom_site_fract_z
Np1 Np 0.000 0.000 0.000
Ge1 Ge 0.250 0.250 0.250
U1 U 0.750 0.750 0.750
Tc1 Tc 0.500 0.500 0.500
```



Computed, not measured: a relaxed Pr2Nd12Sm5 crystal at the PBE-GGA level of DFT.

## Properties
Its density of states at the Fermi level is 25.7 states/eV/cell. For the volume, the calculation gives 35.5 Å³ per atom. For the energy relative to the lowest polymorph listed for this composition, the calculation gives 0 meV/atom. For the calculated formation energy, the calculation gives 0.115 eV per atom.

Geometry as CIF:
```
data_Pr2Nd12Sm5
_cell_length_a 10.284
_cell_length_b 9.623
_cell_length_c 8.065
_cell_angle_alpha 89.27
_cell_angle_beta 90.00
_cell_angle_gamma 122.30
_symmetry_space_group_name_H-M 'P 1'
_symmetry_Int_Tables_number 1
loop_
_symmetry_equiv_pos_as_xyz
'x,y,z'
loop_
_atom_site_label
_atom_site_type_symbol
_atom_site_fract_x
_atom_site_fract_y
_atom_site_fract_z
Pr1 Pr 0.776 0.000 0.000
Pr2 Pr 0.224 0.000 0.000
Nd1 Nd 0.842 0.683 0.121
Nd2 Nd 0.037 0.616 0.793
Nd3 Nd 0.579 0.616 0.793
Nd4 Nd 0.169 0.789 0.390
Nd5 Nd 0.620 0.789 0.390
Nd6 Nd 0.449 0.897 0.710
Nd7 Nd 0.551 0.103 0.290
Nd8 Nd 0.831 0.211 0.610
Nd9 Nd 0.380 0.211 0.610
Nd10 Nd 0.963 0.384 0.207
Nd11 Nd 0.421 0.384 0.207
Nd12 Nd 0.158 0.317 0.879
Sm1 Sm 0.248 0.495 0.513
Sm2 Sm 0.353 0.705 0.080
Sm3 Sm 0.000 0.000 0.500
Sm4 Sm 0.647 0.295 0.920
Sm5 Sm 0.752 0.505 0.487
```



Computed, not measured: a relaxed TaNbGaF2 crystal at the PBE-GGA level of DFT.

## Properties
Its density of states at the Fermi level is 3.9 states/eV/cell. The calculation puts the formation energy without anion corrections at -4.41 eV per formula unit. For the volume, the calculation gives 17.5 Å³ per atom.

Geometry as CIF:
```
data_TaNbGaF2
_cell_length_a 4.002
_cell_length_b 5.475
_cell_length_c 4.002
_cell_angle_alpha 90.00
_cell_angle_beta 90.00
_cell_angle_gamma 90.00
_symmetry_space_group_name_H-M 'P 1'
_symmetry_Int_Tables_number 1
loop_
_symmetry_equiv_pos_as_xyz
'x,y,z'
loop_
_atom_site_label
_atom_site_type_symbol
_atom_site_fract_x
_atom_site_fract_y
_atom_site_fract_z
Nb1 Nb 0.000 0.500 0.000
F1 F 0.000 0.000 0.500
F2 F 0.500 0.000 0.000
Ga1 Ga 0.500 0.500 0.500
Ta1 Ta 0.000 0.000 0.000
```



Computed, not measured: a relaxed CaNi2W crystal at the PBE-GGA level of DFT.

## Properties
Its density of states at the Fermi level is 2.9 states/eV/cell. For the volume, the calculation gives 19.0 Å³ per atom. For the energy relative to the lowest polymorph listed for this composition, the calculation gives 1 meV/atom. For the calculated formation energy, the calculation gives 0.158 eV per atom.

Geometry as CIF:
```
data_CaNi2W
_cell_length_a 5.598
_cell_length_b 5.598
_cell_length_c 5.598
_cell_angle_alpha 43.66
_cell_angle_beta 43.66
_cell_angle_gamma 43.66
_symmetry_space_group_name_H-M 'P 1'
_symmetry_Int_Tables_number 1
loop_
_symmetry_equiv_pos_as_xyz
'x,y,z'
loop_
_atom_site_label
_atom_site_type_symbol
_atom_site_fract_x
_atom_site_fract_y
_atom_site_fract_z
Ni1 Ni 0.944 0.944 0.944
Ni2 Ni 0.556 0.556 0.556
Ca1 Ca 0.750 0.750 0.750
W1 W 0.250 0.250 0.250
```



Computed, not measured: a relaxed LiPrIn2Br6 crystal at the PBE-GGA level of DFT.

## Properties
Its density of states at the Fermi level is 0.0 states/eV/cell. The calculation puts the formation energy without anion corrections at -13.04 eV per formula unit. For the volume, the calculation gives 34.9 Å³ per atom.

Geometry as CIF:
```
data_LiPrIn2Br6
_cell_length_a 7.862
_cell_length_b 7.864
_cell_length_c 7.952
_cell_angle_alpha 60.34
_cell_angle_beta 60.36
_cell_angle_gamma 60.00
_symmetry_space_group_name_H-M 'P 1'
_symmetry_Int_Tables_number 1
loop_
_symmetry_equiv_pos_as_xyz
'x,y,z'
loop_
_atom_site_label
_atom_site_type_symbol
_atom_site_fract_x
_atom_site_fract_y
_atom_site_fract_z
Li1 Li 0.814 0.814 0.559
Pr1 Pr 0.320 0.321 0.038
In1 In 0.537 0.537 0.388
In2 In 0.030 0.030 0.909
Br1 Br 0.590 0.146 0.276
Br2 Br 0.146 0.987 0.276
Br3 Br 0.988 0.590 0.276
Br4 Br 0.491 0.661 0.764
Br5 Br 0.661 0.083 0.764
Br6 Br 0.083 0.491 0.764
```